This record from Alexandria via LeMat-Bulk describes crystalline VCd2O4 at its relaxed geometry. The functional is PBE+U.

Geometry as extended XYZ:
```
7
Lattice="-1.982 1.982 5.600 1.982 -1.982 5.600 1.982 1.982 -5.600" Properties=species:S:1:pos:R:3 pbc="T T T"
V 0.000 0.000 0.000
Cd 0.000 0.000 4.025
Cd 0.000 0.000 7.176
O 1.982 0.000 0.000
O 0.000 0.000 1.881
O 0.000 1.982 0.000
O 0.000 0.000 9.320
```

Summary:
Energy relative to the lowest polymorph listed for this composition: 0.143 eV per atom
Total magnetic moment: 0.141 μB per atom
Space group: I4/mmm (139)